## CdPd2Ru2 (PBE)

Data for a geometry-optimized CdPd2Ru2 structure.

Computed properties:
Total magnetization: 0.003 μB per cell
Mass density: 10.6 g/cm³
Calculated formation energy: 0.35 eV/atom

Cell and atoms, written as POSCAR:
```
CdPd2Ru2
1.0
7.681 0.000 0.000
0.000 7.681 0.000
0.000 0.000 2.803
Ru Pd Cd
4 4 2
Cartesian
2.983 6.824 0.000
6.824 4.698 0.000
4.698 0.857 0.000
0.857 2.983 0.000
1.413 5.254 1.402
5.254 6.268 1.402
6.268 2.427 1.402
2.427 1.413 1.402
0.000 0.000 0.000
3.841 3.841 0.000
```

=====

## Pr12MgSn3 (PBE)

Data for a geometry-optimized Pr12MgSn3 structure.

Computed properties:
Total magnetization: 0.000 μB per cell
Mass density: 6.8 g/cm³
Calculated formation energy: -0.34 eV/atom

Cell and atoms, written as POSCAR:
```
Pr12MgSn3
1.0
-2.967 -3.210 2.474
2.576 0.873 4.223
-12.446 14.965 4.497
Pr Mg Sn
12 1 3
Cartesian
-0.195 -1.169 3.348
-3.327 2.597 4.480
-6.418 6.314 5.597
-9.509 10.031 6.714
-3.086 0.321 1.816
-6.168 4.028 2.930
-9.244 7.726 4.041
-12.327 11.433 5.155
-0.314 2.363 2.690
-3.397 6.070 3.804
-6.473 9.768 4.916
-9.556 13.475 6.030
0.000 0.000 0.000
-3.122 3.754 1.128
-6.223 7.483 2.249
-9.324 11.212 3.369
```

=====

> mass density of number 1 (CdPd2Ru2)?

10.6 g/cm³

=====

> Which formula does entry 2 have?

Pr12MgSn3

=====

> Among the records above, which one has the highest mass density?

CdPd2Ru2

=====

> Among the records above, which one has the highest mass density?

CdPd2Ru2